# PrTlAgPt PBE optimized geometry
data_PrTlAgPt
_chemical_formula_sum 'Pr1 Tl1 Ag1 Pt1'
_cell_length_a 5.0409
_cell_length_b 5.0409
_cell_length_c 5.0409
_cell_angle_alpha 60.00
_cell_angle_beta 60.00
_cell_angle_gamma 60.00
_symmetry_space_group_name_H-M 'P 1'
_symmetry_Int_Tables_number 1
loop_
_symmetry_equiv_pos_as_xyz
'x,y,z'
loop_
_atom_site_label
_atom_site_fract_x
_atom_site_fract_y
_atom_site_fract_z
_atom_site_occupancy
Tl1 0.7500 0.7500 0.7500 1
Pt1 0.5000 0.5000 0.5000 1
Pr1 0.2500 0.2500 0.2500 1
Ag1 0.0000 0.0000 0.0000 1
# Crystal system   cubic
# Space-group type   F-43m (216)

---

# PrZn2Ag2Pt PBE optimized geometry
data_PrZn2Ag2Pt
_chemical_formula_sum 'Pr1 Zn2 Ag2 Pt1'
_cell_length_a 4.8384
_cell_length_b 4.8384
_cell_length_c 6.7712
_cell_angle_alpha 110.93
_cell_angle_beta 110.93
_cell_angle_gamma 90.00
_symmetry_space_group_name_H-M 'P 1'
_symmetry_Int_Tables_number 1
loop_
_symmetry_equiv_pos_as_xyz
'x,y,z'
loop_
_atom_site_label
_atom_site_fract_x
_atom_site_fract_y
_atom_site_fract_z
_atom_site_occupancy
Zn1 0.7939 0.7939 0.5879 1
Zn2 0.2061 0.2061 0.4121 1
Pr1 0.5000 0.5000 0.0000 1
Ag1 0.7500 0.2500 0.5000 1
Ag2 0.2500 0.7500 0.5000 1
Pt1 0.0000 0.0000 0.0000 1
# Crystal system   tetragonal
# Space-group type   I4/mmm (139)

---

# Pr2Zn4AgPt3 PBE optimized geometry
data_Pr2Zn4AgPt3
_chemical_formula_sum 'Pr2 Zn4 Ag1 Pt3'
_cell_length_a 4.1746
_cell_length_b 4.1746
_cell_length_c 11.2966
_cell_angle_alpha 90.00
_cell_angle_beta 90.00
_cell_angle_gamma 90.00
_symmetry_space_group_name_H-M 'P 1'
_symmetry_Int_Tables_number 1
loop_
_symmetry_equiv_pos_as_xyz
'x,y,z'
loop_
_atom_site_label
_atom_site_fract_x
_atom_site_fract_y
_atom_site_fract_z
_atom_site_occupancy
Zn1 0.0000 0.0000 0.0000 1
Zn2 0.0000 0.5000 0.3641 1
Zn3 0.5000 0.5000 0.0000 1
Zn4 0.5000 0.0000 0.6359 1
Pt1 0.0000 0.5000 0.1395 1
Pt2 0.0000 0.0000 0.5000 1
Pt3 0.5000 0.0000 0.8605 1
Pr1 0.5000 0.0000 0.2432 1
Pr2 0.0000 0.5000 0.7568 1
Ag1 0.5000 0.5000 0.5000 1
# Crystal system   tetragonal
# Space-group type   P-4m2 (115)

---

# PrZnAgPt PBE optimized geometry
data_PrZnAgPt
_chemical_formula_sum 'Pr1 Zn1 Ag1 Pt1'
_cell_length_a 4.9008
_cell_length_b 4.9008
_cell_length_c 4.9008
_cell_angle_alpha 60.00
_cell_angle_beta 60.00
_cell_angle_gamma 60.00
_symmetry_space_group_name_H-M 'P 1'
_symmetry_Int_Tables_number 1
loop_
_symmetry_equiv_pos_as_xyz
'x,y,z'
loop_
_atom_site_label
_atom_site_fract_x
_atom_site_fract_y
_atom_site_fract_z
_atom_site_occupancy
Pr1 0.7500 0.7500 0.7500 1
Pt1 0.0000 0.0000 0.0000 1
Ag1 0.5000 0.5000 0.5000 1
Zn1 0.2500 0.2500 0.2500 1
# Crystal system   cubic
# Space-group type   F-43m (216)

---

| no. | total DFT energy (no corrections) (Ry/atom) |
| --- | --- |
| 1 | -0.326 |
| 2 | -0.234 |
| 3 | -0.309 |
| 4 | -0.308 |